The following is a PBE calculation of a relaxed structure of Hf5Nb2Sb5, from the Alexandria database.

abc: 3.727 7.391 11.309
angles: 118.83 90.00 104.60
Positions (direct):
Nb1 0.054 0.108 0.770
Nb2 0.946 0.892 0.230
Sb1 0.710 0.420 0.766
Sb2 0.290 0.580 0.234
Sb3 0.000 0.000 0.000
Sb4 0.149 0.299 0.482
Sb5 0.851 0.701 0.518
Hf1 0.375 0.751 0.740
Hf2 0.500 0.000 0.500
Hf3 0.625 0.249 0.260
Hf4 0.337 0.674 0.999
Hf5 0.663 0.326 0.001

Output
The symmetry is C2/m. The total energy comes out at -94.79 eV per cell. The value obtained for the theoretical density is 10.719 g cm⁻³. For the formation energy (no corrections), the calculation gives -0.3560 eV per atom.